No. 1
The following is a DFT calculation (PBE-GGA) of a relaxed structure of Ce4Sb7Au5.

Properties
M_tot: 2.50 μB/cell
E_form (uncorrected): -0.674 eV/atom
Symmetry: I-42m (121)
Mass density: 10.114 Mg/m³

Unit cell a=10.9031 b=10.9031 c=10.9031 alpha=146.48 beta=146.48 gamma=48.14
Fractional coordinates of all 16 atoms:
Ce1 0.1257 0.6302 0.0000
Ce2 0.3698 0.3698 0.4955
Ce3 0.6302 0.1257 0.0000
Ce4 0.8743 0.8743 0.5045
Sb1 0.0000 0.0000 0.0000
Sb2 0.0000 0.5000 0.5000
Sb3 0.0988 0.0988 0.5069
Sb4 0.4081 0.9012 0.0000
Sb5 0.5000 0.0000 0.5000
Sb6 0.5919 0.5919 0.4931
Sb7 0.9012 0.4081 0.0000
Au1 0.2486 0.2486 0.0000
Au2 0.2500 0.7500 0.5000
Au3 0.5000 0.5000 0.0000
Au4 0.7500 0.2500 0.5000
Au5 0.7514 0.7514 0.0000

---

No. 2
The following is a DFT calculation (PBE-GGA) of a relaxed structure of Ce6Sb3Au.

Properties
M_tot: 16.21 μB/cell
E_form (uncorrected): -0.568 eV/atom
Symmetry: P2_1/c (14)
Mass density: 7.417 Mg/m³

Unit cell a=7.4343 b=8.6354 c=12.2530 alpha=90.00 beta=127.01 gamma=90.00
Fractional coordinates of all 20 atoms:
Ce1 0.0372 0.0964 0.2563
Ce2 0.0372 0.4036 0.7563
Ce3 0.2137 0.6735 0.0577
Ce4 0.2137 0.8265 0.5577
Ce5 0.4135 0.1815 0.0601
Ce6 0.4135 0.3185 0.5601
Ce7 0.5865 0.6815 0.4399
Ce8 0.5865 0.8185 0.9399
Ce9 0.7863 0.1735 0.4423
Ce10 0.7863 0.3265 0.9423
Ce11 0.9628 0.5964 0.2437
Ce12 0.9628 0.9036 0.7437
Sb1 0.0000 0.0000 0.0000
Sb2 0.0000 0.5000 0.5000
Sb3 0.3156 0.1225 0.7537
Sb4 0.3156 0.3775 0.2537
Sb5 0.6844 0.6225 0.7463
Sb6 0.6844 0.8775 0.2463
Au1 0.5000 0.0000 0.5000
Au2 0.5000 0.5000 0.0000

---

No. 3
The following is a DFT calculation (PBE-GGA) of a relaxed structure of CeSb2Au.

Properties
M_tot: 1.19 μB/cell
E_form (uncorrected): -0.707 eV/atom
Symmetry: P4/nmm (129)
Mass density: 9.599 Mg/m³

Unit cell a=4.4625 b=4.4625 c=10.0877 alpha=90.00 beta=90.00 gamma=90.00
Fractional coordinates of all 8 atoms:
Ce1 0.2500 0.2500 0.2467
Ce2 0.7500 0.7500 0.7533
Sb1 0.2500 0.2500 0.6856
Sb2 0.2500 0.7500 0.0000
Sb3 0.7500 0.2500 0.0000
Sb4 0.7500 0.7500 0.3144
Au1 0.2500 0.7500 0.5000
Au2 0.7500 0.2500 0.5000

---

No. 4
The following is a DFT calculation (PBE-GGA) of a relaxed structure of CeSbAu3.

Properties
M_tot: 2.38 μB/cell
E_form (uncorrected): -0.489 eV/atom
Symmetry: P2_1/c (14)
Mass density: 12.404 Mg/m³

Unit cell a=8.3601 b=6.7059 c=8.4318 alpha=90.00 beta=104.97 gamma=90.00
Fractional coordinates of all 20 atoms:
Ce1 0.2147 0.0179 0.2552
Ce2 0.2147 0.4821 0.7552
Ce3 0.7853 0.5179 0.2448
Ce4 0.7853 0.9821 0.7448
Sb1 0.4688 0.2153 0.0539
Sb2 0.4688 0.2847 0.5539
Sb3 0.5312 0.7153 0.4461
Sb4 0.5312 0.7847 0.9461
Au1 0.0092 0.7070 0.0029
Au2 0.0092 0.7930 0.5029
Au3 0.1626 0.0196 0.8448
Au4 0.1626 0.4804 0.3448
Au5 0.3480 0.6021 0.1294
Au6 0.3480 0.8979 0.6294
Au7 0.6520 0.1021 0.3706
Au8 0.6520 0.3979 0.8706
Au9 0.8374 0.5196 0.6552
Au10 0.8374 0.9804 0.1552
Au11 0.9908 0.2070 0.4971
Au12 0.9908 0.2930 0.9971

---

No. 5
The following is a DFT calculation (PBE-GGA) of a relaxed structure of CeScSbAu.

Properties
M_tot: 2.32 μB/cell
E_form (uncorrected): -0.677 eV/atom
Symmetry: F-43m (216)
Mass density: 8.551 Mg/m³

Unit cell a=5.1722 b=5.1722 c=5.1722 alpha=60.00 beta=60.00 gamma=60.00
Fractional coordinates of all 4 atoms:
Ce1 0.0000 0.0000 0.0000
Sc1 0.5000 0.5000 0.5000
Sb1 0.2500 0.2500 0.2500
Au1 0.7500 0.7500 0.7500

---

No. 6
The following is a DFT calculation (PBE-GGA) of a relaxed structure of CeSmSbAu.

Properties
M_tot: 2.33 μB/cell
E_form (uncorrected): -0.749 eV/atom
Symmetry: F-43m (216)
Mass density: 9.374 Mg/m³

Unit cell a=5.3440 b=5.3440 c=5.3440 alpha=60.00 beta=60.00 gamma=60.00
Fractional coordinates of all 4 atoms:
Ce1 0.0000 0.0000 0.0000
Sm1 0.5000 0.5000 0.5000
Sb1 0.7500 0.7500 0.7500
Au1 0.2500 0.2500 0.2500

---

No. 7
The following is a DFT calculation (PBE-GGA) of a relaxed structure of CeSnSbAu.

Properties
M_tot: 0.92 μB/cell
E_form (uncorrected): -0.457 eV/atom
Symmetry: F-43m (216)
Mass density: 9.315 Mg/m³

Unit cell a=5.2610 b=5.2610 c=5.2610 alpha=60.00 beta=60.00 gamma=60.00
Fractional coordinates of all 4 atoms:
Ce1 0.0000 0.0000 0.0000
Sn1 0.5000 0.5000 0.5000
Sb1 0.7500 0.7500 0.7500
Au1 0.2500 0.2500 0.2500

---

No. 8
The following is a DFT calculation (PBE-GGA) of a relaxed structure of CeSnSb2Au2.

Properties
M_tot: 1.71 μB/cell
E_form (uncorrected): -0.345 eV/atom
Symmetry: P2_1/m (11)
Mass density: 9.623 Mg/m³

Unit cell a=6.5733 b=6.4079 c=7.8342 alpha=90.00 beta=110.38 gamma=90.00
Fractional coordinates of all 12 atoms:
Ce1 0.2378 0.2500 0.4487
Ce2 0.7622 0.7500 0.5513
Sn1 0.1829 0.2500 0.8581
Sn2 0.8171 0.7500 0.1419
Sb1 0.1374 0.7500 0.9604
Sb2 0.2542 0.7500 0.5304
Sb3 0.7458 0.2500 0.4696
Sb4 0.8626 0.2500 0.0396
Au1 0.4463 0.0115 0.1867
Au2 0.4463 0.4885 0.1867
Au3 0.5537 0.5115 0.8133
Au4 0.5537 0.9885 0.8133

---

No. 9
The following is a DFT calculation (PBE-GGA) of a relaxed structure of CeSnSbAu.

Properties
M_tot: 0.27 μB/cell
E_form (uncorrected): -0.606 eV/atom
Symmetry: Pmmm (47)
Mass density: 9.791 Mg/m³

Unit cell a=4.3907 b=4.5176 c=4.9380 alpha=90.00 beta=90.00 gamma=90.00
Fractional coordinates of all 4 atoms:
Ce1 0.0000 0.0000 0.0000
Sn1 0.5000 0.0000 0.5000
Sb1 0.5000 0.5000 0.0000
Au1 0.0000 0.5000 0.5000

---

No. 10
The following is a DFT calculation (PBE-GGA) of a relaxed structure of TbCeSbAu.

Properties
M_tot: 2.22 μB/cell
E_form (uncorrected): -0.739 eV/atom
Symmetry: F-43m (216)
Mass density: 9.739 Mg/m³

Unit cell a=5.3009 b=5.3009 c=5.3009 alpha=60.00 beta=60.00 gamma=60.00
Fractional coordinates of all 4 atoms:
Tb1 0.0000 0.0000 0.0000
Ce1 0.5000 0.5000 0.5000
Sb1 0.7500 0.7500 0.7500
Au1 0.2500 0.2500 0.2500

---

No. 11
The following is a DFT calculation (PBE-GGA) of a relaxed structure of CeThSbAu.

Properties
M_tot: 1.64 μB/cell
E_form (uncorrected): -0.624 eV/atom
Symmetry: F-43m (216)
Mass density: 10.559 Mg/m³

Unit cell a=5.3561 b=5.3561 c=5.3561 alpha=60.00 beta=60.00 gamma=60.00
Fractional coordinates of all 4 atoms:
Ce1 0.0000 0.0000 0.0000
Th1 0.5000 0.5000 0.5000
Sb1 0.2500 0.2500 0.2500
Au1 0.7500 0.7500 0.7500

---

No. 12
The following is a DFT calculation (PBE-GGA) of a relaxed structure of CeTlSbAu.

Properties
M_tot: 0.73 μB/cell
E_form (uncorrected): -0.409 eV/atom
Symmetry: F-43m (216)
Mass density: 10.319 Mg/m³

Unit cell a=5.3243 b=5.3243 c=5.3243 alpha=60.00 beta=60.00 gamma=60.00
Fractional coordinates of all 4 atoms:
Ce1 0.0000 0.0000 0.0000
Tl1 0.5000 0.5000 0.5000
Sb1 0.2500 0.2500 0.2500
Au1 0.7500 0.7500 0.7500